[1]
The following is a DFT calculation (GGA-PBE) of crystalline NdBiPd4 at its relaxed geometry.

Output
For the excess energy over the best structure of this formula in the dataset, the calculation gives 0.0 kJ/mol of atoms. As for the density of states at the Fermi level: 6.731 states/eV per cell. The calculation puts the total moment at 0.00 μB/cell. Its space-group type is F-43m.

POSCAR file:
```
NdBiPd4
1.0
5.499 0.000 0.000
2.750 4.763 0.000
2.750 1.588 4.490
Pd Nd Bi
4 1 1
direct
0.625 0.625 0.124
0.625 0.625 0.625
0.124 0.625 0.625
0.625 0.124 0.625
0.000 0.000 0.000
0.250 0.250 0.250
```



[2]
The following is a DFT calculation (GGA-PBE) of crystalline Na3ZrPa3Se8 at its relaxed geometry.

Output
As for the density of states at the Fermi level: 15.574 states/eV per cell. The calculation puts the formation energy without anion corrections at -1.305 eV per atom. The calculation puts the total moment at 5.78 μB/cell. Its space-group type is R-3m.

POSCAR file:
```
Na3ZrPa3Se8
1.0
-2.157 -6.242 -4.568
5.743 5.020 -2.514
1.937 -5.404 6.470
Pa Se Zr Na
3 8 1 3
direct
0.000 0.500 0.500
0.500 0.000 0.500
0.500 0.500 0.500
0.753 0.990 0.727
0.237 0.990 0.727
0.763 0.526 0.273
0.747 0.495 0.742
0.763 0.010 0.273
0.253 0.505 0.258
0.247 0.010 0.273
0.237 0.474 0.727
0.000 0.000 0.500
0.000 0.000 0.000
0.000 0.500 0.000
0.500 0.500 0.000
```



[3]
The following is a DFT calculation (GGA-PBE) of crystalline AlRh at its relaxed geometry.

Output
As for the density of states at the Fermi level: 4.125 states/eV per cell. For the final energy, the calculation gives -5.38 eV/atom. The calculation puts the total moment at 0.00 μB/cell. Its space-group type is I-43m.

POSCAR file:
```
AlRh
1.0
7.477 0.000 0.000
0.000 7.477 0.000
0.000 0.000 7.477
Rh Al
8 8
direct
0.132 0.868 0.132
0.132 0.132 0.868
0.632 0.368 0.632
0.368 0.368 0.368
0.632 0.632 0.368
0.368 0.632 0.632
0.868 0.868 0.868
0.868 0.132 0.132
0.312 0.688 0.312
0.188 0.812 0.812
0.812 0.188 0.812
0.812 0.812 0.188
0.188 0.188 0.188
0.688 0.312 0.312
0.312 0.312 0.688
0.688 0.688 0.688
```



[4]
The following is a DFT calculation (GGA-PBE) of crystalline K2YP at its relaxed geometry.

Output
As for the density of states at the Fermi level: 3.485 states/eV per cell. For the final energy, the calculation gives -3.23 eV/atom. The calculation puts the total moment at 1.62 μB/cell. Its space-group type is I-4m2.

POSCAR file:
```
K2YP
1.0
-5.157 1.078 2.288
-1.429 -5.078 2.271
4.864 2.943 0.818
P K Y
1 2 1
direct
0.500 0.500 0.000
0.000 0.000 0.000
0.250 0.750 0.500
0.750 0.250 0.500
```



[5]
The following is a DFT calculation (GGA-PBE) of crystalline TbBrCl at its relaxed geometry.

Output
As for the density of states at the Fermi level: 2.782 states/eV per cell. The calculation puts the formation energy without anion corrections at -1.767 eV per atom. The calculation puts the total moment at 0.00 μB/cell. Its space-group type is P-1.

POSCAR file:
```
TbBrCl
1.0
-1.006 -0.647 -3.635
4.714 -4.584 -0.488
-3.040 -7.879 0.305
Tb Br Cl
2 2 2
direct
0.750 0.755 0.500
0.250 0.245 0.500
0.630 0.962 0.749
0.370 0.038 0.251
0.146 0.475 0.715
0.854 0.525 0.285
```



[6]
The following is a DFT calculation (GGA-PBE) of crystalline Tm4GaRu2 at its relaxed geometry.

Output
For the excess energy over the best structure of this formula in the dataset, the calculation gives 0.0 kJ/mol of atoms. As for the density of states at the Fermi level: 3.251 states/eV per cell. The calculation puts the total moment at 0.00 μB/cell. Its space-group type is P4/mmm.

POSCAR file:
```
Tm4GaRu2
1.0
4.772 0.000 0.000
0.000 4.772 0.000
0.000 0.000 6.827
Tm Ga Ru
4 1 2
direct
0.000 0.500 0.744
0.500 0.000 0.744
0.000 0.500 0.256
0.500 0.000 0.256
0.500 0.500 0.000
0.500 0.500 0.500
0.000 0.000 0.000
```



The highest total moment belongs to which entry? Na3ZrPa3Se8